# Ag2IrW (GGA-PBE, relaxed)
# distance to the lowest polymorph of the same formula: 701 meV/atom
data_Ag2IrW
_chemical_formula_sum 'Ag8 Ir4 W4'
_space_group_name_H-M_alt 'F m -3 m'
_space_group_IT_number 225
_space_group_name_Hall '-F 4 2 3'
_cell_length_a 6.3645
_cell_length_b 6.3645
_cell_length_c 6.3645
_cell_angle_alpha 90.00
_cell_angle_beta 90.00
_cell_angle_gamma 90.00
loop_
_atom_site_label
_atom_site_type_symbol
_atom_site_fract_x
_atom_site_fract_y
_atom_site_fract_z
_atom_site_occupancy
Ag1 Ag 0.2500 0.2500 0.2500 1
Ir1 Ir 0.0000 0.0000 0.0000 1
W1 W 0.0000 0.0000 0.5000 1

=====

# AgIrW (GGA-PBE, relaxed)
# distance to the lowest polymorph of the same formula: 75 meV/atom
data_AgIrW
_chemical_formula_sum 'Ag2 Ir2 W2'
_space_group_name_H-M_alt 'I m m 2'
_space_group_IT_number 44
_space_group_name_Hall 'I 2 -2'
_cell_length_a 2.8224
_cell_length_b 3.9377
_cell_length_c 8.5212
_cell_angle_alpha 90.00
_cell_angle_beta 90.00
_cell_angle_gamma 90.00
loop_
_atom_site_label
_atom_site_type_symbol
_atom_site_fract_x
_atom_site_fract_y
_atom_site_fract_z
_atom_site_occupancy
Ag1 Ag 0.0000 0.0000 0.0000 1
Ir1 Ir 0.0000 0.0000 0.6763 1
W1 W 0.0000 0.0000 0.3227 1

=====

# Ag2IrW (GGA-PBE, relaxed)
# distance to the lowest polymorph of the same formula: 272 meV/atom
data_Ag2IrW
_chemical_formula_sum 'Ag2 Ir1 W1'
_space_group_name_H-M_alt 'P 1 2/m 1'
_space_group_IT_number 10
_space_group_name_Hall '-P 2y'
_cell_length_a 4.7176
_cell_length_b 2.8150
_cell_length_c 5.1575
_cell_angle_alpha 90.00
_cell_angle_beta 107.86
_cell_angle_gamma 90.00
loop_
_atom_site_label
_atom_site_type_symbol
_atom_site_fract_x
_atom_site_fract_y
_atom_site_fract_z
_atom_site_occupancy
Ag1 Ag 0.0000 0.0000 0.0000 1
Ag2 Ag 0.5000 0.5000 0.0000 1
Ir1 Ir 0.0000 0.5000 0.5000 1
W1 W 0.5000 0.0000 0.5000 1

=====

# AgIrW (GGA-PBE, relaxed)
# distance to the lowest polymorph of the same formula: 564 meV/atom
data_AgIrW
_chemical_formula_sum 'Ag4 Ir4 W4'
_space_group_name_H-M_alt 'F -4 3 m'
_space_group_IT_number 216
_space_group_name_Hall 'F -4 2 3'
_cell_length_a 6.0848
_cell_length_b 6.0848
_cell_length_c 6.0848
_cell_angle_alpha 90.00
_cell_angle_beta 90.00
_cell_angle_gamma 90.00
loop_
_atom_site_label
_atom_site_type_symbol
_atom_site_fract_x
_atom_site_fract_y
_atom_site_fract_z
_atom_site_occupancy
Ag1 Ag 0.0000 0.0000 0.0000 1
Ir1 Ir 0.2500 0.2500 0.7500 1
W1 W 0.0000 0.0000 0.5000 1

=====

# Ag2IrW (GGA-PBE, relaxed)
# distance to the lowest polymorph of the same formula: 446 meV/atom
data_Ag2IrW
_chemical_formula_sum 'Ag2 Ir1 W1'
_space_group_name_H-M_alt 'P 4/m m m'
_space_group_IT_number 123
_space_group_name_Hall '-P 4 2'
_cell_length_a 3.7576
_cell_length_b 3.7576
_cell_length_c 4.6979
_cell_angle_alpha 90.00
_cell_angle_beta 90.00
_cell_angle_gamma 90.00
loop_
_atom_site_label
_atom_site_type_symbol
_atom_site_fract_x
_atom_site_fract_y
_atom_site_fract_z
_atom_site_occupancy
Ag1 Ag 0.0000 0.5000 0.0000 1
Ir1 Ir 0.0000 0.0000 0.5000 1
W1 W 0.5000 0.5000 0.5000 1

=====

# Ag2IrW (GGA-PBE, relaxed)
# distance to the lowest polymorph of the same formula: 417 meV/atom
data_Ag2IrW
_chemical_formula_sum 'Ag2 Ir1 W1'
_space_group_name_H-M_alt 'P m m m'
_space_group_IT_number 47
_space_group_name_Hall '-P 2 2'
_cell_length_a 2.7911
_cell_length_b 4.4578
_cell_length_c 5.2538
_cell_angle_alpha 90.00
_cell_angle_beta 90.00
_cell_angle_gamma 90.00
loop_
_atom_site_label
_atom_site_type_symbol
_atom_site_fract_x
_atom_site_fract_y
_atom_site_fract_z
_atom_site_occupancy
Ag1 Ag 0.0000 0.0000 0.2494 1
Ir1 Ir 0.5000 0.5000 0.5000 1
W1 W 0.5000 0.5000 0.0000 1

=====

# Ag2IrW (GGA-PBE, relaxed)
# distance to the lowest polymorph of the same formula: 463 meV/atom
data_Ag2IrW
_chemical_formula_sum 'Ag4 Ir2 W2'
_space_group_name_H-M_alt 'C m m m'
_space_group_IT_number 65
_space_group_name_Hall '-C 2 2'
_cell_length_a 5.2353
_cell_length_b 9.0595
_cell_length_c 2.7744
_cell_angle_alpha 90.00
_cell_angle_beta 90.00
_cell_angle_gamma 90.00
loop_
_atom_site_label
_atom_site_type_symbol
_atom_site_fract_x
_atom_site_fract_y
_atom_site_fract_z
_atom_site_occupancy
Ag1 Ag 0.2500 0.2500 0.0000 1
Ir1 Ir 0.0000 0.0000 0.5000 1
W1 W 0.0000 0.5000 0.5000 1

=====

# Ag2IrW (GGA-PBE, relaxed)
# distance to the lowest polymorph of the same formula: 401 meV/atom
data_Ag2IrW
_chemical_formula_sum 'Ag8 Ir4 W4'
_space_group_name_H-M_alt 'F -4 3 m'
_space_group_IT_number 216
_space_group_name_Hall 'F -4 2 3'
_cell_length_a 6.3907
_cell_length_b 6.3907
_cell_length_c 6.3907
_cell_angle_alpha 90.00
_cell_angle_beta 90.00
_cell_angle_gamma 90.00
loop_
_atom_site_label
_atom_site_type_symbol
_atom_site_fract_x
_atom_site_fract_y
_atom_site_fract_z
_atom_site_occupancy
Ag1 Ag 0.0000 0.0000 0.0000 1
Ag2 Ag 0.2500 0.2500 0.2500 1
Ir1 Ir 0.0000 0.0000 0.5000 1
W1 W 0.2500 0.2500 0.7500 1

=====

# Ag2Ir2W (GGA-PBE, relaxed)
# distance to the lowest polymorph of the same formula: 0 meV/atom
data_Ag2Ir2W
_chemical_formula_sum 'Ag4 Ir4 W2'
_space_group_name_H-M_alt 'P 4/m b m'
_space_group_IT_number 127
_space_group_name_Hall '-P 4 2ab'
_cell_length_a 7.5338
_cell_length_b 7.5338
_cell_length_c 2.8844
_cell_angle_alpha 90.00
_cell_angle_beta 90.00
_cell_angle_gamma 90.00
loop_
_atom_site_label
_atom_site_type_symbol
_atom_site_fract_x
_atom_site_fract_y
_atom_site_fract_z
_atom_site_occupancy
Ag1 Ag 0.1253 0.3747 0.0000 1
Ir1 Ir 0.1744 0.6744 0.5000 1
W1 W 0.0000 0.0000 0.0000 1

=====

# AgIrW (GGA-PBE, relaxed)
# distance to the lowest polymorph of the same formula: 0 meV/atom
data_AgIrW
_chemical_formula_sum 'Ag1 Ir1 W1'
_space_group_name_H-M_alt 'P 3 m 1'
_space_group_IT_number 156
_space_group_name_Hall 'P 3 -2"'
_cell_length_a 2.7963
_cell_length_b 2.7963
_cell_length_c 7.1538
_cell_angle_alpha 90.00
_cell_angle_beta 90.00
_cell_angle_gamma 120.00
loop_
_atom_site_label
_atom_site_type_symbol
_atom_site_fract_x
_atom_site_fract_y
_atom_site_fract_z
_atom_site_occupancy
Ag1 Ag 0.0000 0.0000 0.0000 1
Ir1 Ir 0.6667 0.3333 0.3501 1
W1 W 0.3333 0.6667 0.6470 1

=====

# Ag2IrW (GGA-PBE, relaxed)
# distance to the lowest polymorph of the same formula: 249 meV/atom
data_Ag2IrW
_chemical_formula_sum 'Ag4 Ir2 W2'
_space_group_name_H-M_alt 'C 1 m 1'
_space_group_IT_number 8
_space_group_name_Hall 'C -2y'
_cell_length_a 9.1170
_cell_length_b 2.8017
_cell_length_c 5.1996
_cell_angle_alpha 90.00
_cell_angle_beta 98.02
_cell_angle_gamma 90.00
loop_
_atom_site_label
_atom_site_type_symbol
_atom_site_fract_x
_atom_site_fract_y
_atom_site_fract_z
_atom_site_occupancy
Ag1 Ag 0.0000 0.0000 0.0000 1
Ag2 Ag 0.2482 0.0000 0.7835 1
Ir1 Ir 0.4992 0.0000 0.4792 1
W1 W 0.2533 0.5000 0.3008 1

=====

# Ag2Ir2W (GGA-PBE, relaxed)
# distance to the lowest polymorph of the same formula: 373 meV/atom
data_Ag2Ir2W
_chemical_formula_sum 'Ag4 Ir4 W2'
_space_group_name_H-M_alt 'I 4/m m m'
_space_group_IT_number 139
_space_group_name_Hall '-I 4 2'
_cell_length_a 3.5560
_cell_length_b 3.5560
_cell_length_c 14.2658
_cell_angle_alpha 90.00
_cell_angle_beta 90.00
_cell_angle_gamma 90.00
loop_
_atom_site_label
_atom_site_type_symbol
_atom_site_fract_x
_atom_site_fract_y
_atom_site_fract_z
_atom_site_occupancy
Ag1 Ag 0.0000 0.0000 0.0974 1
Ir1 Ir 0.0000 0.5000 0.2500 1
W1 W 0.0000 0.0000 0.5000 1

=====

# Ag2IrW (GGA-PBE, relaxed)
# distance to the lowest polymorph of the same formula: 331 meV/atom
data_Ag2IrW
_chemical_formula_sum 'Ag6 Ir3 W3'
_space_group_name_H-M_alt 'R -3 m'
_space_group_IT_number 166
_space_group_name_Hall '-R 3 2"'
_cell_length_a 2.7861
_cell_length_b 2.7861
_cell_length_c 29.0951
_cell_angle_alpha 90.00
_cell_angle_beta 90.00
_cell_angle_gamma 120.00
loop_
_atom_site_label
_atom_site_type_symbol
_atom_site_fract_x
_atom_site_fract_y
_atom_site_fract_z
_atom_site_occupancy
Ag1 Ag 0.0000 0.0000 0.2504 1
Ir1 Ir 0.0000 0.0000 0.0000 1
W1 W 0.0000 0.0000 0.5000 1

=====

# Ag2IrW (GGA-PBE, relaxed)
# distance to the lowest polymorph of the same formula: 125 meV/atom
data_Ag2IrW
_chemical_formula_sum 'Ag4 Ir2 W2'
_space_group_name_H-M_alt 'C m m 2'
_space_group_IT_number 35
_space_group_name_Hall 'C 2 -2'
_cell_length_a 2.9196
_cell_length_b 4.6958
_cell_length_c 9.7355
_cell_angle_alpha 90.00
_cell_angle_beta 90.00
_cell_angle_gamma 90.00
loop_
_atom_site_label
_atom_site_type_symbol
_atom_site_fract_x
_atom_site_fract_y
_atom_site_fract_z
_atom_site_occupancy
Ag1 Ag 0.0000 0.0000 0.0000 1
Ag2 Ag 0.0000 0.5000 0.2572 1
Ir1 Ir 0.0000 0.5000 0.7411 1
W1 W 0.0000 0.0000 0.5172 1

=====

Entry from Alexandria via LeMat-Bulk: a relaxed AgIr2W2 crystal (GGA-PBE).

Geometry as CIF:
```
data_AgIr2W2
_chemical_formula_sum 'Ag2 Ir4 W4'
_space_group_name_H-M_alt 'P 4/m b m'
_space_group_IT_number 127
_space_group_name_Hall '-P 4 2ab'
_cell_length_a 7.7085
_cell_length_b 7.7085
_cell_length_c 2.7841
_cell_angle_alpha 90.00
_cell_angle_beta 90.00
_cell_angle_gamma 90.00
loop_
_atom_site_label
_atom_site_type_symbol
_atom_site_fract_x
_atom_site_fract_y
_atom_site_fract_z
_atom_site_occupancy
Ag1 Ag 0.0000 0.0000 0.0000 1
Ir1 Ir 0.1279 0.3721 0.0000 1
W1 W 0.1650 0.6650 0.5000 1
```

=====

# Ag2IrW (GGA-PBE, relaxed)
# distance to the lowest polymorph of the same formula: 1047 meV/atom
data_Ag2IrW
_chemical_formula_sum 'Ag8 Ir4 W4'
_space_group_name_H-M_alt 'I -4 2 d'
_space_group_IT_number 122
_space_group_name_Hall 'I -4 2bw'
_cell_length_a 7.4621
_cell_length_b 7.4621
_cell_length_c 5.1674
_cell_angle_alpha 90.00
_cell_angle_beta 90.00
_cell_angle_gamma 90.00
loop_
_atom_site_label
_atom_site_type_symbol
_atom_site_fract_x
_atom_site_fract_y
_atom_site_fract_z
_atom_site_occupancy
Ag1 Ag 0.2471 0.7500 0.1250 1
Ir1 Ir 0.0000 0.0000 0.0000 1
W1 W 0.0000 0.0000 0.5000 1

=====

# Ag2IrW (GGA-PBE, relaxed)
# distance to the lowest polymorph of the same formula: 245 meV/atom
data_Ag2IrW
_chemical_formula_sum 'Ag4 Ir2 W2'
_space_group_name_H-M_alt 'C 1 2/m 1'
_space_group_IT_number 12
_space_group_name_Hall '-C 2y'
_cell_length_a 9.8499
_cell_length_b 2.8320
_cell_length_c 4.7125
_cell_angle_alpha 90.00
_cell_angle_beta 99.17
_cell_angle_gamma 90.00
loop_
_atom_site_label
_atom_site_type_symbol
_atom_site_fract_x
_atom_site_fract_y
_atom_site_fract_z
_atom_site_occupancy
Ag1 Ag 0.2499 0.0000 0.2489 1
Ir1 Ir 0.0000 0.0000 0.5000 1
W1 W 0.0000 0.5000 0.0000 1

=====

Entry from Alexandria via LeMat-Bulk: a relaxed Ag3IrW crystal (GGA-PBE).

Geometry as CIF:
```
data_Ag3IrW
_chemical_formula_sum 'Ag3 Ir1 W1'
_space_group_name_H-M_alt 'P m -3 m'
_space_group_IT_number 221
_space_group_name_Hall '-P 4 2 3'
_cell_length_a 4.9338
_cell_length_b 4.9338
_cell_length_c 4.9338
_cell_angle_alpha 90.00
_cell_angle_beta 90.00
_cell_angle_gamma 90.00
loop_
_atom_site_label
_atom_site_type_symbol
_atom_site_fract_x
_atom_site_fract_y
_atom_site_fract_z
_atom_site_occupancy
Ag1 Ag 0.0000 0.0000 0.5000 1
Ir1 Ir 0.5000 0.5000 0.5000 1
W1 W 0.0000 0.0000 0.0000 1
```

=====

# Ag2IrW (GGA-PBE, relaxed)
# distance to the lowest polymorph of the same formula: 123 meV/atom
data_Ag2IrW
_chemical_formula_sum 'Ag2 Ir1 W1'
_space_group_name_H-M_alt 'P 1 m 1'
_space_group_IT_number 6
_space_group_name_Hall 'P -2y'
_cell_length_a 2.8048
_cell_length_b 3.9667
_cell_length_c 5.9548
_cell_angle_alpha 90.00
_cell_angle_beta 90.04
_cell_angle_gamma 90.00
loop_
_atom_site_label
_atom_site_type_symbol
_atom_site_fract_x
_atom_site_fract_y
_atom_site_fract_z
_atom_site_occupancy
Ag1 Ag 0.0000 0.0000 0.0000 1
Ag2 Ag 0.4995 0.5000 0.2392 1
Ir1 Ir 0.9981 0.0000 0.5283 1
W1 W 0.4996 0.5000 0.7117 1

=====

# Ag2IrW (GGA-PBE, relaxed)
# distance to the lowest polymorph of the same formula: 33 meV/atom
data_Ag2IrW
_chemical_formula_sum 'Ag2 Ir1 W1'
_space_group_name_H-M_alt 'P 4 m m'
_space_group_IT_number 99
_space_group_name_Hall 'P 4 -2'
_cell_length_a 2.8597
_cell_length_b 2.8597
_cell_length_c 8.1414
_cell_angle_alpha 90.00
_cell_angle_beta 90.00
_cell_angle_gamma 90.00
loop_
_atom_site_label
_atom_site_type_symbol
_atom_site_fract_x
_atom_site_fract_y
_atom_site_fract_z
_atom_site_occupancy
Ag1 Ag 0.0000 0.0000 0.0000 1
Ag2 Ag 0.5000 0.5000 0.2630 1
Ir1 Ir 0.0000 0.0000 0.5264 1
W1 W 0.5000 0.5000 0.7327 1

=====

Number 1: M_tot 0.000 Bohr magnetons per cell, DFT formation energy 0.861 eV/atom. Number 2: M_tot 0.000 Bohr magnetons per cell, DFT formation energy 0.239 eV/atom. Number 3: M_tot 0.000 Bohr magnetons per cell, DFT formation energy 0.431 eV/atom. Number 4: M_tot 0.022 Bohr magnetons per cell, DFT formation energy 0.728 eV/atom. Number 5: M_tot 0.000 Bohr magnetons per cell, DFT formation energy 0.606 eV/atom. Number 6: M_tot 0.000 Bohr magnetons per cell, DFT formation energy 0.576 eV/atom. Number 7: M_tot 0.003 Bohr magnetons per cell, DFT formation energy 0.623 eV/atom. Number 8: M_tot 0.022 Bohr magnetons per cell, DFT formation energy 0.561 eV/atom. Number 9: M_tot 0.000 Bohr magnetons per cell, DFT formation energy 0.922 eV/atom. Number 10: M_tot 0.000 Bohr magnetons per cell, DFT formation energy 0.164 eV/atom. Number 11: M_tot 0.000 Bohr magnetons per cell, DFT formation energy 0.408 eV/atom. Number 12: M_tot 3.700 Bohr magnetons per cell, DFT formation energy 1.295 eV/atom. Number 13: M_tot 0.473 Bohr magnetons per cell, DFT formation energy 0.490 eV/atom. Number 14: M_tot 0.000 Bohr magnetons per cell, DFT formation energy 0.285 eV/atom. Number 15: M_tot 0.000 Bohr magnetons per cell, DFT formation energy 0.042 eV/atom. Number 16: M_tot 0.000 Bohr magnetons per cell, DFT formation energy 1.206 eV/atom. Number 17: M_tot 0.000 Bohr magnetons per cell, DFT formation energy 0.404 eV/atom. Number 18: M_tot 0.004 Bohr magnetons per cell, DFT formation energy 2.460 eV/atom. Number 19: M_tot 0.000 Bohr magnetons per cell, DFT formation energy 0.282 eV/atom. Number 20: M_tot 0.000 Bohr magnetons per cell, DFT formation energy 0.193 eV/atom.